Compound: Mn2VP2
Source: Alexandria via LeMat-Bulk
Functional: PBE-GGA
Structure: relaxed

Cell: 6.5247 6.5247 2.6874 Å, 90.00 90.00 90.00°
Last column: nearest neighbours and their distance in Å.
Sites, in units of the cell vectors:
P (0.1544, 0.3456, 0.0000)  6 Mn 2.30-2.36, 2 V 2.47
V (0.0000, 0.0000, 0.0000)  4 P 2.47, 2 V 2.69
Mn (0.8572, 0.3572, 0.5000)  6 P 2.30-2.36
Mn (0.3572, 0.1428, 0.5000)  6 P 2.30-2.36
Mn (0.1428, 0.6428, 0.5000)  6 P 2.30-2.36
P (0.3456, 0.8456, 0.0000)  6 Mn 2.30-2.36, 2 V 2.47
V (0.5000, 0.5000, 0.0000)  4 P 2.47, 2 V 2.69
P (0.6544, 0.1544, 0.0000)  6 Mn 2.30-2.36, 2 V 2.47
P (0.8456, 0.6544, 0.0000)  6 Mn 2.30-2.36, 2 V 2.47
Mn (0.6428, 0.8572, 0.5000)  6 P 2.30-2.36

Computed properties:
Final energy: -40.3 eV per formula unit
ΔH_f (0 K): -399.7 meV per atom